This record from Alexandria via LeMat-Bulk describes a relaxed POs2Pb crystal. The functional is PBE.

Output
The energy of formation from the pure elements is 0.935 eV/atom. The symmetry is Fm-3m. The total energy is -27.8 eV/cell.

Cell and atoms, written as POSCAR:
```
POs2Pb
1.0
0.000 3.188 3.188
3.188 0.000 3.188
3.188 3.188 0.000
Pb P Os
1 1 2
Direct
0.500 0.500 0.500 Pb
0.000 0.000 0.000 P
0.250 0.250 0.250 Os
0.750 0.750 0.750 Os
```